# PBE+U FeOs3F, optimized geometry
# Total DFT energy (no corrections), eV/atom: -6.49
# DOS at the Fermi energy, states/eV/f.u.: 5.2
# Relative energy among the computed polymorphs, eV/f.u.: 0.000
# Total magnetic moment, μB/f.u.: 3.838
data_FeOs3F
_chemical_formula_sum 'Fe1 Os3 F1'
_symmetry_space_group_name_H-M 'P m -3 m'
_symmetry_Int_Tables_number 221
_symmetry_space_group_name_Hall '-P 4 2 3'
_cell_length_a 4.1951
_cell_length_b 4.1951
_cell_length_c 4.1951
_cell_angle_alpha 90.00
_cell_angle_beta 90.00
_cell_angle_gamma 90.00
loop_
_atom_site_label
_atom_site_type_symbol
_atom_site_fract_x
_atom_site_fract_y
_atom_site_fract_z
Fe1 Fe 0.0000 0.0000 0.0000
Os1 Os 0.0000 0.5000 0.5000
F1 F 0.5000 0.5000 0.5000